10
Lattice="4.386 0.000 0.000 0.000 7.431 -0.281 0.000 -1.957 8.162" Properties=species:S:1:pos:R:3 comment="SrPrIO2 (PBE, relaxed)" e_form_raw_ev_per_atom=-2.73 sg="P2_1/m, No. 11" pbc="T T T"
Sr 3.290 2.439 0.597
I 1.097 -1.174 6.095
Pr 1.097 3.995 3.133
O 3.290 2.068 6.897
Pr 3.290 1.479 4.748
I 3.290 6.649 1.787
O 1.097 2.361 4.807
O 3.290 3.114 3.074
Sr 1.097 3.035 7.284
O 1.097 3.406 0.984

=====

12
Lattice="-3.249 -0.931 3.900 -3.874 -4.483 -4.298 2.782 -6.427 4.197" Properties=species:S:1:pos:R:3 comment="Tm6Cd5Pd (PBE, relaxed)" energy_ev_per_atom=-3.46 sg="Cmmm, No. 65" pbc="T T T"
Tm -2.542 -1.527 0.933
Tm -2.788 -3.927 3.569
Tm -4.772 -6.224 1.368
Cd -0.375 -4.819 5.366
Tm 0.431 -5.618 2.432
Cd -0.092 -2.539 2.732
Cd -2.276 -7.110 3.235
Tm -1.553 -7.915 0.230
Tm -4.582 -3.888 -1.330
Pd 0.000 0.000 0.000
Cd -1.937 -2.242 -2.149
Cd -2.065 -4.732 0.564

=====

20
Lattice="7.668 0.000 0.000 3.834 6.641 0.000 3.834 2.214 13.097" Properties=species:S:1:pos:R:3 comment="Rb2TiAgBr6 (PBE, relaxed)" polymorph_energy_kj_per_mol_fu=0.0 e_form_raw_ev_per_atom=-1.24 sg="R-3m, No. 166" pbc="T T T"
Rb 11.503 6.641 4.895
Br 5.668 5.582 1.517
Br 7.668 2.118 1.517
Br 7.668 6.737 11.580
Br 5.668 3.273 11.580
Br 7.668 2.268 8.030
Rb 11.503 6.641 11.675
Br 9.668 5.582 1.517
Br 9.539 3.348 5.067
Ag 7.668 4.427 9.893
Br 5.798 5.507 8.030
Rb 3.834 2.214 8.202
Br 9.539 5.507 8.030
Br 5.798 3.348 5.067
Br 9.668 3.273 11.580
Rb 3.834 2.214 1.422
Br 7.668 6.587 5.067
Ti 7.668 4.427 6.549
Ti 0.000 0.000 0.000
Ag 7.668 4.427 3.205

=====

16
Lattice="-0.328 5.487 -4.654 -11.489 2.602 3.876 11.911 -1.304 3.196" Properties=species:S:1:pos:R:3 comment="La2TbSmHo4 (PBE, relaxed)" energy_ev_per_atom=-4.67 sg="C2/m, No. 12" pbc="T T T"
Tb -11.489 2.603 3.875
Sm -6.073 6.788 -2.716
Ho 2.965 1.372 1.404
Ho 3.185 2.015 4.943
Ho -2.925 2.019 -0.188
Ho -2.871 5.415 1.014
Sm 0.211 0.649 3.536
La 5.791 2.092 -0.728
Ho -3.090 4.772 -2.524
La 5.627 4.835 -3.055
Ho 2.809 4.118 -0.917
La -5.909 4.045 -0.389
La 0.258 4.043 4.744
Ho 3.019 4.767 2.606
Ho -2.715 2.668 3.335
Tb 0.047 3.393 1.208

=====

4
Lattice="-0.253 2.642 -4.283 -2.802 -1.681 -3.836 -4.262 2.385 -1.241" Properties=species:S:1:pos:R:3 comment="LiPrMgMn (PBE, relaxed)" energy_ev_per_atom=-4.20 sg="F-43m, No. 216" pbc="T T T"
Li 0.000 0.000 0.000
Pr -1.829 0.837 -2.340
Mg -5.487 2.510 -7.020
Mn -3.658 1.673 -4.680

=====

12
Lattice="-3.343 4.072 -1.823 -2.226 -3.462 -3.652 -2.147 -2.202 7.543" Properties=species:S:1:pos:R:3 comment="Mg3AlPd2 (PBE, relaxed)" polymorph_energy_kj_per_mol_fu=0.0 sg="Ibam, No. 72" pbc="T T T"
Pd -2.729 -2.613 4.142
Mg -4.162 2.200 0.452
Mg -2.228 1.171 -1.825
Mg -3.341 -0.561 -3.650
Mg -3.876 -1.236 -0.611
Pd -1.923 0.376 0.816
Mg -3.840 -0.356 2.679
Al -0.557 -0.866 -0.913
Pd -4.987 1.021 -2.074
Pd -5.793 -1.968 1.252
Mg -3.554 -3.792 1.616
Al -1.670 -2.597 -2.739